1.
VASP calculation (GGA-PBEsol) on a geometry-optimized BaAsN3 structure.

a b c (Å): 4.516 4.516 4.516
angles (deg): 90.00 90.00 90.00
Space group Pm-3m (No. 221)
Unique sites:
Ba (0.000, 0.000, 0.000) [1 per cell]
As (0.500, 0.500, 0.500) [1 per cell]
N (0.000, 0.000, 0.500) [3 per cell]

As for the formation energy without anion corrections: 2.563 eV per atom.

***

2.
VASP calculation (GGA-PBEsol) on a geometry-optimized Ba2AsPN structure.

a b c (Å): 5.966 5.966 4.556
angles (deg): 90.00 90.00 90.00
Space group P4/mmm (No. 123)
Unique sites:
Ba (0.000, 0.500, 0.000) [2 per cell]
As (0.000, 0.000, 0.500) [1 per cell]
P (0.000, 0.000, 0.000) [1 per cell]
N (0.500, 0.500, 0.500) [1 per cell]

As for the formation energy without anion corrections: 0.320 eV per atom.

***

3.
VASP calculation (GGA-PBEsol) on a geometry-optimized BaAsS2N structure.

a b c (Å): 4.988 4.988 3.967
angles (deg): 90.00 90.00 90.00
Space group P4/mmm (No. 123)
Unique sites:
Ba (0.000, 0.000, 0.000) [1 per cell]
As (0.500, 0.500, 0.500) [1 per cell]
S (0.000, 0.500, 0.500) [2 per cell]
N (0.500, 0.500, 0.000) [1 per cell]

As for the formation energy without anion corrections: -0.319 eV per atom.

***

4.
VASP calculation (GGA-PBEsol) on a geometry-optimized BaAsSeN2 structure.

a b c (Å): 4.335 4.335 6.523
angles (deg): 90.00 90.00 90.00
Space group P4/mmm (No. 123)
Unique sites:
Ba (0.000, 0.000, 0.000) [1 per cell]
As (0.500, 0.500, 0.500) [1 per cell]
Se (0.000, 0.000, 0.500) [1 per cell]
N (0.000, 0.500, 0.000) [2 per cell]

As for the formation energy without anion corrections: 1.778 eV per atom.

***

5.
VASP calculation (GGA-PBEsol) on a geometry-optimized BaTe2AsN structure.

a b c (Å): 6.332 6.332 4.395
angles (deg): 90.00 90.00 90.00
Space group P4/mmm (No. 123)
Unique sites:
Ba (0.000, 0.000, 0.000) [1 per cell]
Te (0.000, 0.500, 0.000) [2 per cell]
As (0.500, 0.500, 0.500) [1 per cell]
N (0.000, 0.000, 0.500) [1 per cell]

As for the formation energy without anion corrections: 1.313 eV per atom.

***

6.
VASP calculation (GGA-PBEsol) on a geometry-optimized Ba3NaAs structure.

a b c (Å): 6.409 6.409 6.409
angles (deg): 90.00 90.00 90.00
Space group Pm-3m (No. 221)
Unique sites:
Ba (0.000, 0.000, 0.500) [3 per cell]
Na (0.500, 0.500, 0.500) [1 per cell]
As (0.000, 0.000, 0.000) [1 per cell]

For the final energy, the calculation gives -3.0509 eV/atom.